## NaInSbI2 (PBE)

Data for a relaxed NaInSbI2 crystal.

```
5
Lattice="6.038 0.000 0.000 0.000 6.038 0.000 0.000 0.000 6.014" Properties=species:S:1:pos:R:3 pbc="T T T"
Na 0.000 0.000 0.000
In 3.019 3.019 3.007
Sb 0.000 0.000 3.007
I 0.000 3.019 0.000
I 3.019 0.000 0.000
```

Energy relative to the lowest polymorph listed for this composition (eV per atom): 0.184
Formation energy without anion corrections (eV/atom): 0.031
VASP energy (eV per atom): -2.225
M_tot (μB per cell): 2.976
SG: P4/mmm, No. 123
DOS(E_F) (states/eV/f.u.): 0.9